No. 1
Here is an optimized crystal structure of Ba8CuN2 from Alexandria. Energies are from PBE.

The structure in extended XYZ format:
```
11
Lattice="7.235 -0.490 -0.342 0.487 9.111 -0.312 0.487 2.842 8.662" Properties=species:S:1:pos:R:3 pbc="T T T"
Cu 0.000 0.000 0.000
Ba 5.884 9.539 6.663
N 4.865 2.000 1.397
Ba 2.515 7.542 5.268
N 3.345 9.463 6.610
Ba 2.135 6.404 0.367
Ba 6.075 5.059 7.640
Ba 2.325 1.923 1.344
Ba 2.135 2.549 5.886
Ba 5.695 3.920 2.738
Ba 6.075 8.914 2.121
```

Summary:
DOS(E_F) in states/eV/cell: 8.95
Formation energy from raw total energies in meV per atom: -187

No. 2
Here is an optimized crystal structure of Ba3CuN3 from Alexandria. Energies are from PBE.

The structure in extended XYZ format:
```
14
Lattice="4.051 -7.017 0.000 4.051 7.017 0.000 0.000 0.000 5.675" Properties=species:S:1:pos:R:3 pbc="T T T"
N 4.849 4.063 1.419
Ba 6.338 -2.057 1.419
Ba 4.950 4.460 4.256
Ba 3.152 -4.460 1.419
N 2.957 -0.786 4.256
N 2.159 2.168 1.419
Cu 4.051 2.339 1.419
Ba 2.664 -0.500 1.419
N 5.943 -2.168 4.256
N 3.253 -4.063 4.256
Ba 5.439 0.500 4.256
Cu 4.051 -2.339 4.256
N 5.145 0.786 1.419
Ba 1.765 2.057 4.256
```

Summary:
DOS(E_F) in states/eV/cell: 11.30
Formation energy from raw total energies in meV per atom: -168

No. 3
Here is an optimized crystal structure of BaCuN3 from Alexandria. Energies are from PBE.

The structure in extended XYZ format:
```
5
Lattice="4.495 0.000 0.000 0.000 4.495 0.000 0.000 0.000 4.495" Properties=species:S:1:pos:R:3 pbc="T T T"
N 0.000 0.000 2.247
Ba 0.000 0.000 0.000
N 0.000 2.247 0.000
N 2.247 0.000 0.000
Cu 2.247 2.247 2.247
```

Summary:
DOS(E_F) in states/eV/cell: 5.54
Formation energy from raw total energies in meV per atom: 2788

No. 4
Here is an optimized crystal structure of Ba2Cu2N from Alexandria. Energies are from PBE.

The structure in extended XYZ format:
```
10
Lattice="-0.351 -7.680 -1.523 1.390 -1.561 7.554 -4.681 0.042 0.870" Properties=species:S:1:pos:R:3 pbc="T T T"
Cu -1.535 -1.745 4.855
Ba 0.677 -7.287 3.995
Ba 0.023 -5.613 0.396
N 0.000 0.000 0.000
N 0.519 -4.621 3.016
Ba 1.015 -3.628 5.635
Ba 0.361 -1.954 2.036
Cu -2.331 -3.167 0.641
Cu -1.312 -6.033 6.260
Cu -2.108 -7.455 2.046
```

Summary:
DOS(E_F) in states/eV/cell: 3.90
Formation energy from raw total energies in meV per atom: 476

No. 5
Here is an optimized crystal structure of BaCu2N4 from Alexandria. Energies are from PBE.

The structure in extended XYZ format:
```
7
Lattice="-1.053 -1.124 5.073 2.434 -4.242 4.388 1.607 3.401 3.218" Properties=species:S:1:pos:R:3 pbc="T T T"
Ba 0.000 0.000 0.000
Cu 1.015 -2.428 7.703
Cu 1.974 0.462 4.976
N 0.454 1.333 5.681
N 0.993 0.243 3.087
N 2.535 -3.299 6.998
N 1.996 -2.209 9.592
```

Summary:
DOS(E_F) in states/eV/cell: 0.93
Formation energy from raw total energies in meV per atom: 66

No. 6
Here is an optimized crystal structure of Ba4Cu2N from Alexandria. Energies are from PBE.

The structure in extended XYZ format:
```
7
Lattice="5.579 0.000 0.000 0.000 5.579 0.000 -2.790 -2.790 8.076" Properties=species:S:1:pos:R:3 pbc="T T T"
N 0.000 0.000 0.000
Ba 0.000 0.000 2.744
Ba 0.000 2.790 0.000
Cu 0.000 0.000 6.034
Ba 2.790 0.000 0.000
Ba 2.790 2.790 5.332
Cu 2.790 2.790 2.042
```

Summary:
DOS(E_F) in states/eV/cell: 4.42
Formation energy from raw total energies in meV per atom: -41

No. 7
Here is an optimized crystal structure of Ba6CuN2 from Alexandria. Energies are from PBE.

The structure in extended XYZ format:
```
9
Lattice="-2.486 4.412 -0.471 -1.927 -3.260 7.089 8.962 5.181 1.223" Properties=species:S:1:pos:R:3 pbc="T T T"
Ba 1.077 1.175 5.314
Ba 1.587 1.040 1.367
N -0.074 0.302 3.221
Ba 2.962 5.292 6.474
Ba -2.020 2.040 2.314
Cu 4.481 2.591 0.612
Ba 6.569 4.292 5.528
N 4.623 6.030 4.621
Ba 3.472 5.158 2.528
```

Summary:
DOS(E_F) in states/eV/cell: 5.09
Formation energy from raw total energies in meV per atom: -205

No. 8
Here is an optimized crystal structure of BaCuN3 from Alexandria. Energies are from PBE.

The structure in extended XYZ format:
```
5
Lattice="-3.952 0.553 -0.528 0.396 -0.898 -3.904 -0.654 -3.884 0.827" Properties=species:S:1:pos:R:3 pbc="T T T"
N -0.327 -1.942 0.414
N -1.976 0.276 -0.264
N 0.198 -0.449 -1.952
Cu 0.000 0.000 0.000
Ba -2.105 -2.115 -1.802
```

Summary:
DOS(E_F) in states/eV/cell: 5.16
Formation energy from raw total energies in meV per atom: 1156

No. 9
Here is an optimized crystal structure of Ba2Cu2N from Alexandria. Energies are from PBE.

The structure in extended XYZ format:
```
5
Lattice="-1.250 1.491 -2.904 -1.327 -3.073 -1.006 -8.893 1.104 2.291" Properties=species:S:1:pos:R:3 pbc="T T T"
Cu -5.755 -1.380 -0.335
N 0.000 0.000 0.000
Cu -5.716 0.902 -1.284
Ba -8.857 -0.017 -0.404
Ba -2.613 -0.461 -1.215
```

Summary:
DOS(E_F) in states/eV/cell: 1.49
Formation energy from raw total energies in meV per atom: 38

No. 10
Here is an optimized crystal structure of BaNa2CuN from Alexandria. Energies are from PBE.

The structure in extended XYZ format:
```
5
Lattice="6.604 0.000 0.000 0.000 4.443 0.000 0.000 0.000 6.604" Properties=species:S:1:pos:R:3 pbc="T T T"
Cu 3.302 2.222 3.302
Ba 0.000 0.000 0.000
Na 3.302 0.000 0.000
Na 0.000 0.000 3.302
N 0.000 2.222 0.000
```

Summary:
DOS(E_F) in states/eV/cell: 1.79
Formation energy from raw total energies in meV per atom: 983

No. 11
Here is an optimized crystal structure of Ba2NaCuN from Alexandria. Energies are from PBE.

The structure in extended XYZ format:
```
5
Lattice="5.973 0.000 0.000 0.000 5.973 0.000 0.000 0.000 3.840" Properties=species:S:1:pos:R:3 pbc="T T T"
Ba 0.000 2.986 0.000
Cu 0.000 0.000 1.920
Na 2.986 2.986 1.920
N 0.000 0.000 0.000
Ba 2.986 0.000 0.000
```

Summary:
DOS(E_F) in states/eV/cell: 3.10
Formation energy from raw total energies in meV per atom: -23

No. 12
Here is an optimized crystal structure of Ba2NbCuN from Alexandria. Energies are from PBE.

The structure in extended XYZ format:
```
5
Lattice="5.858 0.000 0.000 0.000 4.086 0.000 0.000 0.000 5.858" Properties=species:S:1:pos:R:3 pbc="T T T"
Nb 0.000 2.043 0.000
Cu 2.929 2.043 2.929
Ba 0.000 0.000 2.929
Ba 2.929 0.000 0.000
N 0.000 0.000 0.000
```

Summary:
DOS(E_F) in states/eV/cell: 3.02
Formation energy from raw total energies in meV per atom: -7

No. 13
Here is an optimized crystal structure of BaNdCuN2 from Alexandria. Energies are from PBE.

The structure in extended XYZ format:
```
10
Lattice="5.272 0.000 0.000 0.000 5.866 0.771 0.000 -0.945 6.920" Properties=species:S:1:pos:R:3 pbc="T T T"
Ba 5.258 2.697 2.115
N 3.849 3.718 7.529
N 1.423 4.191 4.069
N 1.423 1.203 0.162
Ba 0.015 2.224 5.575
Cu 0.000 0.000 0.000
N 3.849 0.731 3.622
Cu 0.000 -0.472 3.460
Nd 2.634 -0.236 1.730
Nd 2.639 -0.709 5.190
```

Summary:
DOS(E_F) in states/eV/cell: 0.03
Formation energy from raw total energies in meV per atom: -562

No. 14
Here is an optimized crystal structure of Ba2CuNiN from Alexandria. Energies are from PBE.

The structure in extended XYZ format:
```
5
Lattice="-0.489 3.498 4.535 -3.786 -3.613 2.379 2.685 -1.740 1.631" Properties=species:S:1:pos:R:3 pbc="T T T"
Ba -1.893 -1.807 1.189
Cu -0.795 -0.927 4.272
Ba -0.244 1.749 2.268
N 0.000 0.000 0.000
Ni 1.342 -0.870 0.815
```

Summary:
DOS(E_F) in states/eV/cell: 2.76
Formation energy from raw total energies in meV per atom: -242

No. 15
Here is an optimized crystal structure of BaPa2CuN4 from Alexandria. Energies are from PBE.

The structure in extended XYZ format:
```
16
Lattice="3.621 0.000 0.000 -1.811 5.975 0.000 0.000 0.000 11.699" Properties=species:S:1:pos:R:3 pbc="T T T"
Pa 1.811 1.576 5.173
Pa 0.000 4.399 6.526
Cu 1.811 3.887 8.774
Cu 0.000 2.088 2.925
N 0.000 0.000 0.000
N 1.811 2.925 10.557
Pa 1.811 1.576 0.676
Pa 0.000 4.399 11.023
N 0.000 3.050 4.708
N 0.000 3.050 1.142
N 0.000 0.000 5.850
N 0.000 4.983 8.774
Ba 0.000 1.157 8.774
N 1.811 2.925 6.991
N 1.811 0.992 2.925
Ba 1.811 4.818 2.925
```

Summary:
DOS(E_F) in states/eV/cell: 7.67
Formation energy from raw total energies in meV per atom: -1191

No. 16
Here is an optimized crystal structure of BaPaCuN3 from Alexandria. Energies are from PBE.

The structure in extended XYZ format:
```
12
Lattice="-3.466 0.799 -0.584 -2.038 -4.805 5.526 0.941 6.868 3.810" Properties=species:S:1:pos:R:3 pbc="T T T"
N -2.123 -0.639 6.168
N -0.366 5.413 4.013
N -3.414 -0.696 2.630
Pa -2.078 -1.927 4.137
N -2.440 3.501 2.585
Pa -2.485 4.788 4.616
Ba -3.530 1.992 6.993
Ba -1.033 0.869 1.760
Cu -4.080 -1.012 6.149
N -1.148 3.558 6.123
Cu -0.483 3.873 2.604
N -4.197 -2.552 4.740
```

Summary:
DOS(E_F) in states/eV/cell: 4.32
Formation energy from raw total energies in meV per atom: -790

No. 17
Here is an optimized crystal structure of Ba2CuPbN from Alexandria. Energies are from PBE.

The structure in extended XYZ format:
```
5
Lattice="-0.159 5.114 3.314 -0.825 -3.303 5.057 3.683 -0.193 0.475" Properties=species:S:1:pos:R:3 pbc="T T T"
Ba -0.080 2.557 1.657
Cu 1.841 -0.097 0.237
Ba -0.413 -1.651 2.528
Pb 1.349 0.809 4.423
N 0.000 0.000 0.000
```

Summary:
DOS(E_F) in states/eV/cell: 3.32
Formation energy from raw total energies in meV per atom: -281

No. 18
Here is an optimized crystal structure of BaCu2PbN from Alexandria. Energies are from PBE.

The structure in extended XYZ format:
```
5
Lattice="4.428 0.000 0.000 0.000 5.150 0.000 0.000 0.000 4.428" Properties=species:S:1:pos:R:3 pbc="T T T"
Cu 0.000 0.000 2.214
Pb 0.000 2.575 0.000
Cu 2.214 0.000 0.000
N 0.000 0.000 0.000
Ba 2.214 2.575 2.214
```

Summary:
DOS(E_F) in states/eV/cell: 4.29
Formation energy from raw total energies in meV per atom: 666

No. 19
Here is an optimized crystal structure of BaPrCuN2 from Alexandria. Energies are from PBE.

The structure in extended XYZ format:
```
10
Lattice="-3.856 -3.558 -0.862 4.060 -4.083 -1.310 0.253 -1.913 6.761" Properties=species:S:1:pos:R:3 pbc="T T T"
N 0.399 -5.849 -1.671
N 0.058 -3.705 6.260
Pr -1.739 -3.214 4.640
N -1.862 -4.403 2.479
N 2.319 -5.150 2.111
Ba -1.762 -6.077 0.173
Ba 2.219 -3.476 4.416
Cu 0.000 0.000 0.000
Cu 0.127 -0.956 3.381
Pr -1.864 -2.256 1.260
```

Summary:
DOS(E_F) in states/eV/cell: 0.05
Formation energy from raw total energies in meV per atom: -543

No. 20
Here is an optimized crystal structure of Ba2CuPtN from Alexandria. Energies are from PBE.

The structure in extended XYZ format:
```
5
Lattice="-1.984 -5.124 1.469 4.275 -0.593 3.705 -2.082 1.567 2.653" Properties=species:S:1:pos:R:3 pbc="T T T"
N 0.000 0.000 0.000
Cu -1.041 0.783 1.326
Ba -0.992 -2.562 0.735
Ba 2.137 -0.296 1.852
Pt 0.104 -2.075 3.913
```

Summary:
DOS(E_F) in states/eV/cell: 1.57
Formation energy from raw total energies in meV per atom: -410